An optimized crystal structure of FeRhN2O. Source: Alexandria via LeMat-Bulk, functional GGA+U.

Output
E in eV for the cell shown: -29.39
Space-group type: P4/mmm

a b c (Å): 3.753 3.753 4.300
angles (deg): 90.00 90.00 90.00
Positions (direct):
Fe: 0.000 0.000 0.000
Rh: 0.500 0.500 0.500
N: 0.000 0.500 0.500
N: 0.500 0.000 0.500
O: 0.500 0.500 0.000